The following is a PBE calculation of a geometry-optimized KCoRh structure, from Alexandria.

The structure in CIF format:
```
data_KCoRh
_chemical_formula_sum 'K1 Co1 Rh1'
_space_group_name_H-M_alt 'P 3 m 1'
_space_group_IT_number 156
_cell_length_a 2.8412
_cell_length_b 2.8412
_cell_length_c 7.6503
_cell_angle_alpha 90.00
_cell_angle_beta 90.00
_cell_angle_gamma 120.00
loop_
_space_group_symop_operation_xyz
'x,y,z'
'-y,x-y,z'
'-x+y,-x,z'
'-y,-x,z'
'-x+y,y,z'
'x,x-y,z'
loop_
_atom_site_label
_atom_site_fract_x
_atom_site_fract_y
_atom_site_fract_z
K1 0.0000 0.0000 0.0000
Co1 0.3333 0.6667 0.6217
Rh1 0.6667 0.3333 0.3669
```

Values from the calculation:
Formation energy from the elements   0.81 eV/atom
Fermi-level density of states   0.984 states/eV/atom
Total magnetization   2.7 μB per formula unit



The following is a PBE calculation of a geometry-optimized Dy2IrPbO8 structure, from Alexandria.

The structure in CIF format:
```
data_Dy2IrPbO8
_chemical_formula_sum 'Dy4 Ir2 Pb2 O16'
_space_group_name_H-M_alt 'C m m m'
_space_group_IT_number 65
_space_group_name_Hall '-C 2 2'
_cell_length_a 6.998
_cell_length_b 7.154
_cell_length_c 6.834
_cell_angle_alpha 90.00
_cell_angle_beta 90.00
_cell_angle_gamma 90.00
loop_
_atom_site_label
_atom_site_fract_x
_atom_site_fract_y
_atom_site_fract_z
Dy1 0.000 0.000 0.249
Ir1 0.000 0.500 0.000
Pb1 0.000 0.500 0.500
O1 0.000 0.318 0.216
O2 0.193 0.000 0.500
O3 0.229 0.000 0.000
```

Values from the calculation:
Total DFT energy (no corrections)   -7.01 eV per atom
Fermi-level density of states   0.330 states/eV/atom
Total magnetization   1.0 μB per formula unit